No. 1
{"formula": "DyAlCuPt", "functional": "PBE-GGA", "state": "relaxed", "rho_g_cm3": 10.53, "dft_energy_ev_per_atom": -5.3246, "lattice": [[0.000, 3.281, 3.281], [3.281, 0.000, 3.281], [3.281, 3.281, 0.000]], "species": ["Dy", "Al", "Cu", "Pt"], "fractional_positions": [[0.000, 0.000, 0.000], [0.500, 0.500, 0.500], [0.250, 0.250, 0.250], [0.750, 0.750, 0.750]]}

***

No. 2
{"formula": "Dy2Al4Cu3Pt", "functional": "PBE-GGA", "state": "relaxed", "rho_g_cm3": 7.71, "dft_energy_ev_per_atom": -4.8348, "lattice": [[4.138, 0.000, 0.000], [0.000, 4.138, 0.000], [0.000, 0.000, 10.291]], "species": ["Dy", "Dy", "Al", "Al", "Al", "Al", "Cu", "Cu", "Cu", "Pt"], "fractional_positions": [[0.000, 0.500, 0.249], [0.500, 0.000, 0.751], [0.000, 0.000, 0.000], [0.000, 0.500, 0.633], [0.500, 0.000, 0.367], [0.500, 0.500, 0.000], [0.000, 0.500, 0.866], [0.500, 0.000, 0.134], [0.500, 0.500, 0.500], [0.000, 0.000, 0.500]]}

***

No. 3
{"formula": "DyAlCuPt3", "functional": "PBE-GGA", "state": "relaxed", "rho_g_cm3": 13.22, "dft_energy_ev_per_atom": -5.7889, "lattice": [[2.817, -6.517, 0.000], [2.817, 6.517, 0.000], [0.000, 0.000, 5.735]], "species": ["Dy", "Dy", "Al", "Al", "Cu", "Cu", "Pt", "Pt", "Pt", "Pt", "Pt", "Pt"], "fractional_positions": [[0.170, 0.830, 0.750], [0.830, 0.170, 0.250], [0.116, 0.884, 0.250], [0.884, 0.116, 0.750], [0.373, 0.627, 0.750], [0.627, 0.373, 0.250], [0.257, 0.257, 0.000], [0.257, 0.257, 0.500], [0.305, 0.695, 0.250], [0.695, 0.305, 0.750], [0.743, 0.743, 0.000], [0.743, 0.743, 0.500]]}

***

No. 4
{"formula": "DyAlCu2Pt4", "functional": "PBE-GGA", "state": "relaxed", "rho_g_cm3": 14.24, "dft_energy_ev_per_atom": -5.7952, "lattice": [[2.201, 1.271, 7.622], [-2.201, 1.271, 7.622], [0.000, -2.541, 7.622]], "species": ["Dy", "Al", "Cu", "Cu", "Pt", "Pt", "Pt", "Pt"], "fractional_positions": [[0.000, 0.000, 0.000], [0.500, 0.500, 0.500], [0.253, 0.253, 0.253], [0.747, 0.747, 0.747], [0.131, 0.131, 0.131], [0.394, 0.394, 0.394], [0.606, 0.606, 0.606], [0.869, 0.869, 0.869]]}